1.
Computed, not measured: an optimized crystal structure of Pm6Co2Br3N at the PBE level of DFT.

Fermi-level density of states	0.00	states/eV per atom
ΔE_f (raw)	-21.71	kcal/mol of atoms

Unit cell a=6.7599 b=11.7033 c=7.9524 alpha=90.00 beta=106.30 gamma=90.00
Space group C2/m (No. 12)
One atom of each set of equivalent atoms:
Pm 0.2203 0.1590 0.1841 x8
Pm 0.2431 0.5000 0.1844 x4
Co 0.0000 0.3333 0.0000 x4
Br 0.0000 0.1671 0.5000 x4
Br 0.0000 0.5000 0.5000 x2
N 0.0000 0.0000 0.0000 x2

=====

2.
Computed, not measured: an optimized crystal structure of Pm8Co3Br3N at the PBE level of DFT.

Fermi-level density of states	0.68	states/eV per atom
ΔE_f (raw)	-15.93	kcal/mol of atoms

Unit cell a=13.6112 b=7.8421 c=8.8937 alpha=90.00 beta=120.68 gamma=90.00
Space group C2/m (No. 12)
One atom of each set of equivalent atoms:
Pm 0.0179 0.2376 0.3168 x8
Pm 0.2207 0.0000 0.6840 x4
Pm 0.2313 0.5000 0.6937 x4
Co 0.0000 0.5000 0.5000 x2
Co 0.2500 0.2500 0.5000 x4
Br 0.0000 0.0000 0.0000 x2
Br 0.2500 0.2500 0.0000 x4
N 0.0000 0.0000 0.5000 x2

=====

3.
Computed, not measured: an optimized crystal structure of Pm4CoBr2N at the PBE level of DFT.

Fermi-level density of states	0.62	states/eV per atom
ΔE_f (raw)	-23.32	kcal/mol of atoms

Unit cell a=6.8909 b=3.7492 c=7.8899 alpha=90.00 beta=107.29 gamma=90.00
Space group P2/m (No. 10)
One atom of each set of equivalent atoms:
Pm 0.2058 0.0000 0.1811 x2
Pm 0.2657 0.5000 0.8133 x2
Co 0.5000 0.0000 0.0000 x1
Br 0.0000 0.0000 0.5000 x1
Br 0.5000 0.5000 0.5000 x1
N 0.0000 0.5000 0.0000 x1

=====

4.
Computed, not measured: an optimized crystal structure of Pr6Co2Br3N at the PBE level of DFT.

Fermi-level density of states	0.03	states/eV per atom
ΔE_f (raw)	-21.12	kcal/mol of atoms

Unit cell a=6.8557 b=11.8783 c=8.0837 alpha=90.00 beta=106.33 gamma=90.00
Space group C2/m (No. 12)
One atom of each set of equivalent atoms:
Pr 0.2212 0.1590 0.1857 x8
Pr 0.2443 0.5000 0.1861 x4
Co 0.0000 0.3335 0.0000 x4
Br 0.0000 0.1684 0.5000 x4
Br 0.0000 0.5000 0.5000 x2
N 0.0000 0.0000 0.0000 x2

=====

5.
Computed, not measured: an optimized crystal structure of RbCoBr2N at the PBE level of DFT.

Fermi-level density of states	1.56	states/eV per atom
ΔE_f (raw)	17.80	kcal/mol of atoms

Unit cell a=4.7054 b=4.7054 c=7.1078 alpha=90.00 beta=90.00 gamma=90.00
Space group P4/mmm (No. 123)
One atom of each set of equivalent atoms:
Rb 0.0000 0.0000 0.0000 x1
Co 0.0000 0.0000 0.5000 x1
Br 0.0000 0.5000 0.5000 x2
N 0.5000 0.5000 0.0000 x1

=====

6.
Computed, not measured: an optimized crystal structure of CoRhBrN2 at the PBE level of DFT.

Fermi-level density of states	1.91	states/eV per atom
ΔE_f (raw)	27.98	kcal/mol of atoms

Unit cell a=3.7102 b=3.7102 c=5.5687 alpha=90.00 beta=90.00 gamma=90.00
Space group P4/mmm (No. 123)
One atom of each set of equivalent atoms:
Co 0.0000 0.0000 0.0000 x1
Rh 0.0000 0.0000 0.5000 x1
Br 0.5000 0.5000 0.0000 x1
N 0.0000 0.5000 0.5000 x2

=====

7.
Computed, not measured: an optimized crystal structure of CoSeBr2N at the PBE level of DFT.

Fermi-level density of states	1.39	states/eV per atom
ΔE_f (raw)	30.89	kcal/mol of atoms
energy relative to the lowest polymorph listed for this composition	0.000	eV/atom

Unit cell a=4.4902 b=4.4902 c=4.7126 alpha=90.00 beta=90.00 gamma=90.00
Space group P4/mmm (No. 123)
One atom of each set of equivalent atoms:
Co 0.0000 0.0000 0.0000 x1
Se 0.5000 0.5000 0.0000 x1
Br 0.0000 0.5000 0.5000 x2
N 0.5000 0.5000 0.5000 x1

=====

8.
Computed, not measured: an optimized crystal structure of CoSeBr2N at the PBE level of DFT.

Fermi-level density of states	1.60	states/eV per atom
ΔE_f (raw)	34.14	kcal/mol of atoms
energy relative to the lowest polymorph listed for this composition	0.141	eV/atom

Unit cell a=4.8632 b=4.8632 c=4.4629 alpha=90.00 beta=90.00 gamma=90.00
Space group P4/mmm (No. 123)
One atom of each set of equivalent atoms:
Co 0.0000 0.0000 0.0000 x1
Se 0.0000 0.0000 0.5000 x1
Br 0.0000 0.5000 0.0000 x2
N 0.5000 0.5000 0.5000 x1

=====

Repeat the second record exactly.
Computed, not measured: an optimized crystal structure of Pm8Co3Br3N at the PBE level of DFT.

Fermi-level density of states	0.68	states/eV per atom
ΔE_f (raw)	-15.93	kcal/mol of atoms

Unit cell a=13.6112 b=7.8421 c=8.8937 alpha=90.00 beta=120.68 gamma=90.00
Space group C2/m (No. 12)
One atom of each set of equivalent atoms:
Pm 0.0179 0.2376 0.3168 x8
Pm 0.2207 0.0000 0.6840 x4
Pm 0.2313 0.5000 0.6937 x4
Co 0.0000 0.5000 0.5000 x2
Co 0.2500 0.2500 0.5000 x4
Br 0.0000 0.0000 0.0000 x2
Br 0.2500 0.2500 0.0000 x4
N 0.0000 0.0000 0.5000 x2

=====

Q: The lowest ΔE_f (raw) belongs to which entry?
A: Pm4CoBr2N

=====

Q: Look up the Fermi-level density of states of the sixth one.
A: 1.91 states/eV per atom

=====

Repeat the fourth record exactly.
Computed, not measured: an optimized crystal structure of Pr6Co2Br3N at the PBE level of DFT.

Fermi-level density of states	0.03	states/eV per atom
ΔE_f (raw)	-21.12	kcal/mol of atoms

Unit cell a=6.8557 b=11.8783 c=8.0837 alpha=90.00 beta=106.33 gamma=90.00
Space group C2/m (No. 12)
One atom of each set of equivalent atoms:
Pr 0.2212 0.1590 0.1857 x8
Pr 0.2443 0.5000 0.1861 x4
Co 0.0000 0.3335 0.0000 x4
Br 0.0000 0.1684 0.5000 x4
Br 0.0000 0.5000 0.5000 x2
N 0.0000 0.0000 0.0000 x2